No. 1
A relaxed structure of YEr5TlIn2. Source: Alexandria via LeMat-Bulk, functional PBE.

Cell: 8.489 8.489 9.334 Å, 117.05 117.05 90.00°
Fractional positions:
Er 0.077 0.577 0.732
Er 0.655 0.155 0.732
Er 0.923 0.423 0.268
Er 0.500 0.500 0.000
Er 0.155 0.077 0.732
Tl 0.250 0.250 0.500
Y 0.750 0.250 0.500
Y 0.250 0.750 0.500
Tl 0.750 0.750 0.500
Er 0.845 0.923 0.268
Er 0.423 0.345 0.268
Er 0.000 0.000 0.000
In 0.111 0.389 0.000
Er 0.577 0.655 0.732
Er 0.345 0.845 0.268
In 0.611 0.111 0.000
In 0.389 0.889 0.000
In 0.889 0.611 0.000

Results
Total magnetic moment ... 0.03 μB per formula unit
Crystal system ... tetragonal
Calculated density ... 8.76 g/cm3
E_form ... -16 kJ/mol of formula units
DFT total energy ... -4.143 eV/atom

---

No. 2
A relaxed structure of ErZrTlIn. Source: Alexandria via LeMat-Bulk, functional PBE.

Cell: 5.173 5.173 5.173 Å, 60.00 60.00 60.00°
Last column: magnetic moment on the atom in μB.
Fractional positions:
Tl 0.000 0.000 0.000  0.00
In 0.500 0.500 0.500  0.00
Zr 0.250 0.250 0.250  0.08
Er 0.750 0.750 0.750  0.02

Results
Total magnetic moment ... 0.15 μB per formula unit
Crystal system ... cubic
Calculated density ... 9.80 g/cm3
E_form ... -66 kJ/mol of formula units
DFT total energy ... -4.725 eV/atom

---

No. 3
A relaxed structure of Er3Tm3In2. Source: Alexandria via LeMat-Bulk, functional PBE.

Cell: 4.793 4.789 9.576 Å, 90.00 90.00 90.00°
Fractional positions:
In 0.000 0.000 0.250
Tm 0.500 0.500 0.250
Tm 0.500 0.500 0.750
Er 0.000 0.500 0.000
Er 0.500 0.000 0.500
Tm 0.500 0.000 0.000
In 0.000 0.000 0.750
Er 0.000 0.500 0.500

Results
Total magnetic moment ... 0.00 μB per formula unit
Crystal system ... orthorhombic
Calculated density ... 9.35 g/cm3
E_form ... -201 kJ/mol of formula units
Energy above the most stable polymorph in this dataset ... 0 meV/atom
DFT total energy ... -4.333 eV/atom